(1)
AsRuRh after structural relaxation, computed with PBE.

Lattice parameters (Å, degrees): 4.0654 4.0654 4.0654 60.00 60.00 60.00
Last column: nearest neighbours and their distance in Å.
Positions (direct):
As 0.0000 0.0000 0.0000  4 Ru 2.49, 4 Rh 2.49
Ru 0.2500 0.2500 0.2500  4 As 2.49
Rh 0.7500 0.7500 0.7500  4 As 2.49

Summary:
Space-group type: F-43m
Excess energy over the best structure of this formula in the dataset (eV per atom): 0.000
Calculated total energy (eV per atom): -7.2825
Total magnetization (μB/cell): 0.000
Energy relative to the elements (kcal/mol of atoms): -4.39



(2)
AsRuRh3 after structural relaxation, computed with PBE.

Lattice parameters (Å, degrees): 4.6575 4.6575 4.6575 90.00 90.00 90.00
Last column: nearest neighbours and their distance in Å.
Positions (direct):
As 0.0000 0.0000 0.0000  12 Rh 3.29
Ru 0.5000 0.5000 0.5000  6 Rh 2.33
Rh 0.0000 0.5000 0.5000  2 Ru 2.33
Rh 0.5000 0.0000 0.5000  2 Ru 2.33
Rh 0.5000 0.5000 0.0000  2 Ru 2.33

Summary:
Space-group type: Pm-3m
Excess energy over the best structure of this formula in the dataset (eV per atom): 0.456
Calculated total energy (eV per atom): -5.8533
Total magnetization (μB/cell): 0.000
Energy relative to the elements (kcal/mol of atoms): 30.96



Q: What is the total magnetization in the second record?
A: 0.000 μB/cell